# 1
VASP calculation (PBE) on crystalline Sr2Tl2Cd at its relaxed geometry.

Output
**Energy**: -18.08 eV for the cell shown
**Volume**: 345.1 Å³/cell
**Symmetry**: No. 139

Cell lengths 4.683, 4.683, 15.734 Å; angles 90.00, 90.00, 90.00 degrees
Atoms (fractional coordinates):
Sr 0.000 0.000 0.104
Sr 0.000 0.000 0.896
Sr 0.500 0.500 0.396
Sr 0.500 0.500 0.604
Tl 0.000 0.500 0.250
Tl 0.000 0.500 0.750
Tl 0.500 0.000 0.250
Tl 0.500 0.000 0.750
Cd 0.000 0.000 0.500
Cd 0.500 0.500 0.000


# 2
VASP calculation (PBE) on crystalline SrTl2Cd2 at its relaxed geometry.

Output
**Energy**: -18.31 eV for the cell shown
**Volume**: 297.2 Å³/cell
**Symmetry**: No. 139

Cell lengths 4.816, 4.816, 12.814 Å; angles 90.00, 90.00, 90.00 degrees
Atoms (fractional coordinates):
Sr 0.000 0.000 0.000
Sr 0.500 0.500 0.500
Tl 0.000 0.000 0.385
Tl 0.000 0.000 0.615
Tl 0.500 0.500 0.115
Tl 0.500 0.500 0.885
Cd 0.000 0.500 0.250
Cd 0.000 0.500 0.750
Cd 0.500 0.000 0.250
Cd 0.500 0.000 0.750


# 3
VASP calculation (PBE) on crystalline Sr2TlCd at its relaxed geometry.

Output
**Energy**: -8.19 eV for the cell shown
**Volume**: 132.7 Å³/cell
**Symmetry**: No. 123

Cell lengths 5.696, 5.696, 4.092 Å; angles 90.00, 90.00, 90.00 degrees
Atoms (fractional coordinates):
Sr 0.000 0.500 0.000
Sr 0.500 0.000 0.000
Tl 0.000 0.000 0.500
Cd 0.500 0.500 0.500


# 4
VASP calculation (PBE) on crystalline Sr2TlCd at its relaxed geometry.

Output
**Energy**: -8.21 eV for the cell shown
**Volume**: 134.4 Å³/cell
**Symmetry**: No. 123

Cell lengths 5.782, 5.782, 4.019 Å; angles 90.00, 90.00, 90.00 degrees
Atoms (fractional coordinates):
Sr 0.000 0.500 0.000
Sr 0.500 0.000 0.000
Tl 0.000 0.000 0.500
Cd 0.500 0.500 0.500


# 5
VASP calculation (PBE) on crystalline Sr3Cd2W2 at its relaxed geometry.

Output
**Energy**: -29.10 eV for the cell shown
**Volume**: 201.8 Å³/cell
**Symmetry**: No. 160

Cell lengths 10.511, 10.511, 10.511 Å; angles 26.36, 26.36, 26.36 degrees
Atoms (fractional coordinates):
Sr 0.000 0.000 0.000
Sr 0.241 0.241 0.241
Sr 0.489 0.489 0.489
Cd 0.101 0.101 0.101
Cd 0.633 0.633 0.633
W 0.387 0.387 0.387
W 0.732 0.732 0.732


# 6
VASP calculation (PBE) on crystalline Sr4ZnCd at its relaxed geometry.

Output
**Energy**: -10.02 eV for the cell shown
**Volume**: 231.1 Å³/cell
**Symmetry**: No. 123

Cell lengths 4.023, 4.023, 14.282 Å; angles 90.00, 90.00, 90.00 degrees
Atoms (fractional coordinates):
Sr 0.000 0.000 0.132
Sr 0.000 0.000 0.868
Sr 0.500 0.500 0.360
Sr 0.500 0.500 0.640
Zn 0.500 0.500 0.000
Cd 0.000 0.000 0.500


# 7
VASP calculation (PBE) on crystalline SrZnCd2 at its relaxed geometry.

Output
**Energy**: -21.96 eV for the cell shown
**Volume**: 385.2 Å³/cell
**Symmetry**: No. 216

Cell lengths 7.276, 7.276, 7.276 Å; angles 90.00, 90.00, 90.00 degrees
Atoms (fractional coordinates):
Sr 0.000 0.000 0.000
Sr 0.000 0.500 0.500
Sr 0.500 0.000 0.500
Sr 0.500 0.500 0.000
Zn 0.250 0.250 0.750
Zn 0.250 0.750 0.250
Zn 0.750 0.250 0.250
Zn 0.750 0.750 0.750
Cd 0.000 0.000 0.500
Cd 0.000 0.500 0.000
Cd 0.250 0.250 0.250
Cd 0.250 0.750 0.750
Cd 0.500 0.000 0.000
Cd 0.500 0.500 0.500
Cd 0.750 0.250 0.750
Cd 0.750 0.750 0.250


# 8
VASP calculation (PBE) on crystalline SrZn2Cd2 at its relaxed geometry.

Output
**Energy**: -6.27 eV for the cell shown
**Volume**: 129.9 Å³/cell
**Symmetry**: No. 164

Cell lengths 4.479, 4.479, 7.474 Å; angles 90.00, 90.00, 120.00 degrees
Atoms (fractional coordinates):
Sr 0.000 0.000 0.000
Zn 0.333 0.667 0.261
Zn 0.667 0.333 0.739
Cd 0.333 0.667 0.634
Cd 0.667 0.333 0.366


# 9
VASP calculation (PBE) on crystalline Sr2ZnCd at its relaxed geometry.

Output
**Energy**: -22.96 eV for the cell shown
**Volume**: 442.2 Å³/cell
**Symmetry**: No. 216

Cell lengths 7.619, 7.619, 7.619 Å; angles 90.00, 90.00, 90.00 degrees
Atoms (fractional coordinates):
Sr 0.000 0.000 0.000
Sr 0.000 0.500 0.500
Sr 0.250 0.250 0.250
Sr 0.250 0.750 0.750
Sr 0.500 0.000 0.500
Sr 0.500 0.500 0.000
Sr 0.750 0.250 0.750
Sr 0.750 0.750 0.250
Zn 0.000 0.000 0.500
Zn 0.000 0.500 0.000
Zn 0.500 0.000 0.000
Zn 0.500 0.500 0.500
Cd 0.250 0.250 0.750
Cd 0.250 0.750 0.250
Cd 0.750 0.250 0.250
Cd 0.750 0.750 0.750


# 10
VASP calculation (PBE) on crystalline SrZrCd4 at its relaxed geometry.

Output
**Energy**: -14.49 eV for the cell shown
**Volume**: 144.3 Å³/cell
**Symmetry**: No. 123

Cell lengths 3.520, 3.520, 11.648 Å; angles 90.00, 90.00, 90.00 degrees
Atoms (fractional coordinates):
Sr 0.000 0.000 0.000
Zr 0.500 0.500 0.500
Cd 0.000 0.000 0.347
Cd 0.000 0.000 0.653
Cd 0.500 0.500 0.200
Cd 0.500 0.500 0.800


# 11
VASP calculation (PBE) on crystalline TaCd2 at its relaxed geometry.

Output
**Volume**: 283.7 Å³/cell
**Symmetry**: No. 225
**Energy of formation from the pure elements**: 1.0152 eV/atom

Cell lengths 6.571, 6.571, 6.571 Å; angles 90.00, 90.00, 90.00 degrees
Atoms (fractional coordinates):
Ta 0.000 0.000 0.000
Ta 0.000 0.500 0.500
Ta 0.500 0.000 0.500
Ta 0.500 0.500 0.000
Cd 0.250 0.250 0.250
Cd 0.250 0.250 0.750
Cd 0.250 0.750 0.250
Cd 0.250 0.750 0.750
Cd 0.750 0.250 0.250
Cd 0.750 0.250 0.750
Cd 0.750 0.750 0.250
Cd 0.750 0.750 0.750


# 12
VASP calculation (PBE) on crystalline TaCd2 at its relaxed geometry.

Output
**Volume**: 532.6 Å³/cell
**Symmetry**: No. 227
**Energy of formation from the pure elements**: 2.0909 eV/atom

Cell lengths 9.099, 9.099, 9.099 Å; angles 60.00, 60.00, 60.00 degrees
Atoms (fractional coordinates):
Ta 0.125 0.125 0.125
Ta 0.875 0.875 0.875
Cd 0.000 0.000 0.000
Cd 0.000 0.000 0.500
Cd 0.000 0.500 0.000
Cd 0.500 0.000 0.000